[1]
A plane-wave DFT calculation with GGA-PBEsol was carried out for a geometry-optimized CrOsAu structure.

```
CrOsAu
1.0
0.000 2.255 6.927
1.396 0.000 6.927
1.396 2.255 0.000
Cr Os Au
1 1 1
Direct
0.000 0.000 0.000
0.356 0.356 0.644
0.670 0.670 0.330
```

Summary:
* spin magnetization: 0.0 μB per cell

---

[2]
A plane-wave DFT calculation with GGA-PBEsol was carried out for a geometry-optimized Sc2NiP structure.

```
Sc2NiP
1.0
3.733 0.000 0.000
0.000 1.804 4.830
0.000 -1.804 4.830
Sc Ni P
2 1 1
Direct
0.000 0.000 0.000
0.500 0.285 0.285
0.500 0.568 0.568
0.000 0.714 0.714
```

Summary:
* spin magnetization: 0.0 μB per cell

---

In eV per atom, the formation enthalpy at 0 K values for the records above are, in order, 0.49; -1.06.